# 1
# MnNiTe2 | Alexandria via LeMat-Bulk | GGA-PBE | optimized geometry
data_MnNiTe2
_space_group_name_H-M_alt 'P 1'
_space_group_IT_number 1
_space_group_name_Hall 'P 1'
_cell_length_a 5.141
_cell_length_b 3.610
_cell_length_c 6.337
_cell_angle_alpha 90.00
_cell_angle_beta 92.88
_cell_angle_gamma 90.00
loop_
_atom_site_label
_atom_site_fract_x
_atom_site_fract_y
_atom_site_fract_z
Mn1 0.000 0.000 0.000
Ni1 0.500 0.000 0.000
Te1 0.271 0.500 0.773
Te2 0.729 0.500 0.227
# M_tot in μB per cell: 3.964
# Formation energy (no corrections) in eV/f.u.: 0.07

# 2
# Pm3Sc2In2 | Alexandria via LeMat-Bulk | GGA-PBE | optimized geometry
data_Pm3Sc2In2
_space_group_name_H-M_alt 'P 1'
_space_group_IT_number 1
_space_group_name_Hall 'P 1'
_cell_length_a 5.353
_cell_length_b 3.262
_cell_length_c 11.108
_cell_angle_alpha 90.00
_cell_angle_beta 103.93
_cell_angle_gamma 90.00
loop_
_atom_site_label
_atom_site_fract_x
_atom_site_fract_y
_atom_site_fract_z
Pm1 0.000 0.000 0.000
Pm2 0.288 0.000 0.577
Pm3 0.712 0.000 0.423
Sc1 0.430 0.000 0.860
Sc2 0.570 0.000 0.140
In1 0.142 0.500 0.284
In2 0.858 0.500 0.716
# M_tot in μB per cell: 0.123
# Formation energy from the elements in kJ/mol of formula units: -25

# 3
# Ho2SiSb | Alexandria via LeMat-Bulk | GGA-PBE | optimized geometry
data_Ho2SiSb
_space_group_name_H-M_alt 'P 1'
_space_group_IT_number 1
_space_group_name_Hall 'P 1'
_cell_length_a 4.143
_cell_length_b 4.143
_cell_length_c 21.548
_cell_angle_alpha 90.00
_cell_angle_beta 90.00
_cell_angle_gamma 120.00
loop_
_atom_site_label
_atom_site_fract_x
_atom_site_fract_y
_atom_site_fract_z
Ho1 0.000 0.000 0.244
Ho2 0.000 0.000 0.756
Ho3 0.333 0.667 0.423
Ho4 0.333 0.667 0.910
Ho5 0.667 0.333 0.090
Ho6 0.667 0.333 0.577
Si1 0.000 0.000 0.500
Si2 0.333 0.667 0.167
Si3 0.667 0.333 0.833
Sb1 0.000 0.000 0.000
Sb2 0.333 0.667 0.667
Sb3 0.667 0.333 0.333
# M_tot in μB per cell: 0.000
# Formation energy (no corrections) in eV/f.u.: -3.09
# ΔE to the lowest computed polymorph in meV/atom: 101.3

# 4
# CrTcSb2 | Alexandria via LeMat-Bulk | GGA-PBE | optimized geometry
data_CrTcSb2
_space_group_name_H-M_alt 'P 1'
_space_group_IT_number 1
_space_group_name_Hall 'P 1'
_cell_length_a 6.731
_cell_length_b 6.731
_cell_length_c 6.731
_cell_angle_alpha 90.00
_cell_angle_beta 90.00
_cell_angle_gamma 90.00
loop_
_atom_site_label
_atom_site_fract_x
_atom_site_fract_y
_atom_site_fract_z
Cr1 0.000 0.000 0.000
Cr2 0.000 0.500 0.500
Cr3 0.500 0.000 0.500
Cr4 0.500 0.500 0.000
Tc1 0.250 0.250 0.250
Tc2 0.250 0.750 0.750
Tc3 0.750 0.250 0.750
Tc4 0.750 0.750 0.250
Sb1 0.000 0.000 0.500
Sb2 0.000 0.500 0.000
Sb3 0.250 0.250 0.750
Sb4 0.250 0.750 0.250
Sb5 0.500 0.000 0.000
Sb6 0.500 0.500 0.500
Sb7 0.750 0.250 0.250
Sb8 0.750 0.750 0.750
# M_tot in μB per cell: 11.595
# Formation energy (no corrections) in eV/f.u.: 2.58
# ΔE to the lowest computed polymorph in meV/atom: 517.4

# 5
# Cu3ReN | Alexandria via LeMat-Bulk | GGA-PBE | optimized geometry
data_Cu3ReN
_space_group_name_H-M_alt 'P 1'
_space_group_IT_number 1
_space_group_name_Hall 'P 1'
_cell_length_a 3.881
_cell_length_b 3.881
_cell_length_c 3.881
_cell_angle_alpha 90.00
_cell_angle_beta 90.00
_cell_angle_gamma 90.00
loop_
_atom_site_label
_atom_site_fract_x
_atom_site_fract_y
_atom_site_fract_z
Cu1 0.000 0.000 0.500
Cu2 0.000 0.500 0.000
Cu3 0.500 0.000 0.000
Re1 0.500 0.500 0.500
N1 0.000 0.000 0.000
# M_tot in μB per cell: 0.000
# Formation energy (no corrections) in eV/f.u.: 4.58
# ΔE to the lowest computed polymorph in meV/atom: 0.0

# 6
# PaTc2Ag | Alexandria via LeMat-Bulk | GGA-PBE | optimized geometry
data_PaTc2Ag
_space_group_name_H-M_alt 'P 1'
_space_group_IT_number 1
_space_group_name_Hall 'P 1'
_cell_length_a 6.571
_cell_length_b 6.571
_cell_length_c 6.571
_cell_angle_alpha 90.00
_cell_angle_beta 90.00
_cell_angle_gamma 90.00
loop_
_atom_site_label
_atom_site_fract_x
_atom_site_fract_y
_atom_site_fract_z
Pa1 0.000 0.000 0.000
Pa2 0.000 0.500 0.500
Pa3 0.500 0.000 0.500
Pa4 0.500 0.500 0.000
Tc1 0.250 0.250 0.250
Tc2 0.250 0.250 0.750
Tc3 0.250 0.750 0.250
Tc4 0.250 0.750 0.750
Tc5 0.750 0.250 0.250
Tc6 0.750 0.250 0.750
Tc7 0.750 0.750 0.250
Tc8 0.750 0.750 0.750
Ag1 0.000 0.000 0.500
Ag2 0.000 0.500 0.000
Ag3 0.500 0.000 0.000
Ag4 0.500 0.500 0.500
# M_tot in μB per cell: 0.005
# Formation energy from the elements in kJ/mol of formula units: 87
# ΔE to the lowest computed polymorph in meV/atom: 178.1